(1)
Below is Nb2TcOsS after structural relaxation, with properties calculated at the PBE level.

The structure belongs to space group P4/mmm (No. 123); the cell edges are 4.879, 4.879 and 4.684 Å and the angles 90.00°, 90.00° and 90.00°. The distinct sites, in fractional coordinates, are Nb at (0.000, 0.500, 0.000), Tc at (0.000, 0.000, 0.500), Os at (0.000, 0.000, 0.000) and S at (0.500, 0.500, 0.500).

The volume comes out at 22.30 A^3/atom. Its total magnetic moment is 0.0 μB/cell. The value obtained for the density of states at the Fermi level is 1.42 states/eV per atom. The uncorrected formation energy is 1.393 eV/atom. For the final energy, the calculation gives -7.780 eV per atom.

(2)
Below is LiEr3Hg12 after structural relaxation, with properties calculated at the PBE level.

The structure belongs to space group P4/mmm (No. 123); the cell edges are 4.509, 4.509 and 18.594 Å and the angles 90.00°, 90.00° and 90.00°. The distinct sites, in fractional coordinates, are Li at (0.000, 0.000, 0.000), Er at (0.000, 0.000, 0.239), Er at (0.000, 0.000, 0.500), Hg at (0.000, 0.500, 0.119), Hg at (0.000, 0.500, 0.372), Hg at (0.500, 0.500, 0.000), Hg at (0.500, 0.500, 0.247) and Hg at (0.500, 0.500, 0.500).

The volume comes out at 23.62 A^3/atom. Its total magnetic moment is 0.0 μB/cell. The formation energy comes out at -0.273 eV/atom. The value obtained for the density of states at the Fermi level is 0.43 states/eV per atom. For the final energy, the calculation gives -1.474 eV per atom.

(3)
Below is TaReRu3 after structural relaxation, with properties calculated at the PBE level.

The structure belongs to space group Pm-3m (No. 221); the cell edges are 4.605, 4.605 and 4.605 Å and the angles 90.00°, 90.00° and 90.00°. The distinct sites, in fractional coordinates, are Ta at (0.000, 0.000, 0.000), Re at (0.500, 0.500, 0.500) and Ru at (0.000, 0.500, 0.500).

The volume comes out at 19.52 A^3/atom. Its total magnetic moment is 0.0 μB/cell. The formation energy comes out at 1.640 eV/atom. The value obtained for the density of states at the Fermi level is 1.36 states/eV per atom. For the energy above the most stable polymorph in this dataset, the calculation gives 0.0000 eV per atom. For the final energy, the calculation gives -8.786 eV per atom.

(4)
Below is MnZnCo2H after structural relaxation, with properties calculated at the PBE level.

The structure belongs to space group P4/mmm (No. 123); the cell edges are 3.665, 3.665 and 3.775 Å and the angles 90.00°, 90.00° and 90.00°. The distinct sites, in fractional coordinates, are Mn at (0.000, 0.000, 0.000), Zn at (0.500, 0.500, 0.000), Co at (0.000, 0.500, 0.500) and H at (0.500, 0.500, 0.500).

The volume comes out at 10.14 A^3/atom. Its total magnetic moment is 5.8 μB/cell. The value obtained for the density of states at the Fermi level is 0.86 states/eV per atom. For the energy above the most stable polymorph in this dataset, the calculation gives 0.1410 eV per atom. For the final energy, the calculation gives -5.500 eV per atom.